[1]
# PBE MoCI2, optimized geometry
# Polymorph energy (0 for the lowest one) (meV/atom): 8.4
# Energy relative to the elements, uncorrected (eV/atom): 1.99
# Calculated total energy (eV/atom): -3.803
data_MoCI2
_chemical_formula_sum 'Mo4 C4 I8'
_cell_length_a 5.868
_cell_length_b 5.868
_cell_length_c 11.717
_cell_angle_alpha 90.00
_cell_angle_beta 90.00
_cell_angle_gamma 90.00
_symmetry_space_group_name_H-M 'I -4 2 d'
_symmetry_Int_Tables_number 122
_symmetry_space_group_name_Hall 'I -4 2bw'
loop_
_atom_site_label
_atom_site_fract_x
_atom_site_fract_y
_atom_site_fract_z
Mo1 0.000 0.000 0.000
C1 0.000 0.000 0.500
I1 0.225 0.250 0.625

=====

[2]
# PBE MoC2I2, optimized geometry
# Polymorph energy (0 for the lowest one) (meV/atom): 1010.6
# Energy relative to the elements, uncorrected (eV/atom): 2.53
# Calculated total energy (eV/atom): -3.943
data_MoC2I2
_chemical_formula_sum 'Mo2 C4 I4'
_cell_length_a 7.489
_cell_length_b 7.489
_cell_length_c 3.558
_cell_angle_alpha 90.00
_cell_angle_beta 90.00
_cell_angle_gamma 90.00
_symmetry_space_group_name_H-M 'P 4/m b m'
_symmetry_Int_Tables_number 127
_symmetry_space_group_name_Hall '-P 4 2ab'
loop_
_atom_site_label
_atom_site_fract_x
_atom_site_fract_y
_atom_site_fract_z
Mo1 0.000 0.000 0.000
C1 0.213 0.287 0.500
I1 0.165 0.665 0.000

=====

[3]
# PBE MoC2I2, optimized geometry
# Polymorph energy (0 for the lowest one) (meV/atom): 864.2
# Energy relative to the elements, uncorrected (eV/atom): 2.39
# Calculated total energy (eV/atom): -4.090
data_MoC2I2
_chemical_formula_sum 'Mo2 C4 I4'
_cell_length_a 3.172
_cell_length_b 3.172
_cell_length_c 16.962
_cell_angle_alpha 90.00
_cell_angle_beta 90.00
_cell_angle_gamma 90.00
_symmetry_space_group_name_H-M 'I 4/m m m'
_symmetry_Int_Tables_number 139
_symmetry_space_group_name_Hall '-I 4 2'
loop_
_atom_site_label
_atom_site_fract_x
_atom_site_fract_y
_atom_site_fract_z
Mo1 0.000 0.000 0.000
C1 0.000 0.500 0.250
I1 0.000 0.000 0.395

=====

[4]
# PBE Mo3CI, optimized geometry
# Polymorph energy (0 for the lowest one) (meV/atom): 2644.4
# Energy relative to the elements, uncorrected (eV/atom): 3.46
# Calculated total energy (eV/atom): -5.195
data_Mo3CI
_chemical_formula_sum 'Mo3 C1 I1'
_cell_length_a 4.867
_cell_length_b 4.867
_cell_length_c 4.867
_cell_angle_alpha 90.00
_cell_angle_beta 90.00
_cell_angle_gamma 90.00
_symmetry_space_group_name_H-M 'P m -3 m'
_symmetry_Int_Tables_number 221
_symmetry_space_group_name_Hall '-P 4 2 3'
loop_
_atom_site_label
_atom_site_fract_x
_atom_site_fract_y
_atom_site_fract_z
Mo1 0.000 0.000 0.500
C1 0.500 0.500 0.500
I1 0.000 0.000 0.000

=====

[5]
# PBE MoC2I2, optimized geometry
# Polymorph energy (0 for the lowest one) (meV/atom): 0.0
# Energy relative to the elements, uncorrected (eV/atom): 1.52
# Calculated total energy (eV/atom): -4.954
data_MoC2I2
_chemical_formula_sum 'Mo2 C4 I4'
_cell_length_a 5.358
_cell_length_b 5.358
_cell_length_c 6.058
_cell_angle_alpha 90.00
_cell_angle_beta 90.00
_cell_angle_gamma 90.00
_symmetry_space_group_name_H-M 'I 4/m m m'
_symmetry_Int_Tables_number 139
_symmetry_space_group_name_Hall '-I 4 2'
loop_
_atom_site_label
_atom_site_fract_x
_atom_site_fract_y
_atom_site_fract_z
Mo1 0.000 0.000 0.000
C1 0.000 0.000 0.395
I1 0.000 0.500 0.250

=====

[6]
# PBE MoC2I2, optimized geometry
# Polymorph energy (0 for the lowest one) (meV/atom): 362.9
# Energy relative to the elements, uncorrected (eV/atom): 1.88
# Calculated total energy (eV/atom): -4.591
data_MoC2I2
_chemical_formula_sum 'Mo2 C4 I4'
_cell_length_a 6.286
_cell_length_b 6.286
_cell_length_c 4.747
_cell_angle_alpha 90.00
_cell_angle_beta 90.00
_cell_angle_gamma 90.00
_symmetry_space_group_name_H-M 'P 4/m b m'
_symmetry_Int_Tables_number 127
_symmetry_space_group_name_Hall '-P 4 2ab'
loop_
_atom_site_label
_atom_site_fract_x
_atom_site_fract_y
_atom_site_fract_z
Mo1 0.000 0.000 0.000
C1 0.236 0.264 0.000
I1 0.205 0.295 0.500

=====

[7]
# PBE MoCIN2, optimized geometry
# Polymorph energy (0 for the lowest one) (meV/atom): 0.0
# Energy relative to the elements, uncorrected (eV/atom): 1.66
# Calculated total energy (eV/atom): -5.989
data_MoCIN2
_chemical_formula_sum 'Mo1 C1 I1 N2'
_cell_length_a 3.851
_cell_length_b 3.851
_cell_length_c 5.908
_cell_angle_alpha 90.00
_cell_angle_beta 90.00
_cell_angle_gamma 90.00
_symmetry_space_group_name_H-M 'P 4/m m m'
_symmetry_Int_Tables_number 123
_symmetry_space_group_name_Hall '-P 4 2'
loop_
_atom_site_label
_atom_site_fract_x
_atom_site_fract_y
_atom_site_fract_z
Mo1 0.000 0.000 0.000
C1 0.500 0.500 0.500
I1 0.000 0.000 0.500
N1 0.000 0.500 0.000

=====

[8]
# PBE MoCIN2, optimized geometry
# Polymorph energy (0 for the lowest one) (meV/atom): 1049.9
# Energy relative to the elements, uncorrected (eV/atom): 2.71
# Calculated total energy (eV/atom): -4.939
data_MoCIN2
_chemical_formula_sum 'Mo1 C1 I1 N2'
_cell_length_a 3.848
_cell_length_b 3.848
_cell_length_c 4.189
_cell_angle_alpha 90.00
_cell_angle_beta 90.00
_cell_angle_gamma 90.00
_symmetry_space_group_name_H-M 'P 4/m m m'
_symmetry_Int_Tables_number 123
_symmetry_space_group_name_Hall '-P 4 2'
loop_
_atom_site_label
_atom_site_fract_x
_atom_site_fract_y
_atom_site_fract_z
Mo1 0.000 0.000 0.000
C1 0.500 0.500 0.500
I1 0.500 0.500 0.000
N1 0.000 0.500 0.500